(1)
La2Dy2Y4Tm | PBE | relaxed

The structure in extended XYZ format:
```
9
Lattice="9.396 -1.815 0.000 9.396 1.815 0.000 -4.173 0.000 8.675" Properties=species:S:1:pos:R:3 pbc="T T T"
La 1.020 0.000 4.308
La 13.598 0.000 4.367
Dy 3.134 0.000 7.261
Dy 11.485 0.000 1.414
Y -3.111 0.000 7.253
Y 5.225 0.000 1.420
Y 9.393 0.000 7.255
Y 17.730 0.000 1.422
Tm 7.309 0.000 4.337
```


(2)
LaDy3Y2Tm6 | PBE | relaxed

The structure in extended XYZ format:
```
12
Lattice="3.065 -5.304 0.000 3.065 5.304 0.000 -2.037 0.000 11.533" Properties=species:S:1:pos:R:3 pbc="T T T"
La 0.000 0.000 0.000
Dy 2.046 3.533 5.766
Dy 2.046 0.000 5.766
Dy 2.046 -3.533 5.766
Y 3.065 1.768 0.000
Y 3.065 -1.768 0.000
Tm 1.030 1.771 2.921
Tm 0.004 0.000 8.612
Tm 1.030 -1.771 2.921
Tm 3.062 1.771 8.611
Tm 4.088 0.000 2.921
Tm 3.062 -1.771 8.611
```


(3)
La3DyY2Tm6 | PBE | relaxed

The structure in extended XYZ format:
```
12
Lattice="3.100 -5.367 0.000 3.100 5.367 0.000 -2.062 0.000 11.576" Properties=species:S:1:pos:R:3 pbc="T T T"
La 0.000 0.000 0.000
La 3.100 1.789 0.000
La 3.100 -1.789 0.000
Dy 2.068 0.000 5.788
Y 2.068 3.578 5.788
Y 2.068 -3.578 5.788
Tm 1.039 1.785 2.952
Tm 0.005 0.000 8.626
Tm 1.039 -1.785 2.952
Tm 3.098 1.785 8.624
Tm 4.132 0.000 2.951
Tm 3.098 -1.785 8.624
```


(4)
La3DyY6Tm2 | PBE | relaxed

The structure in extended XYZ format:
```
12
Lattice="3.120 -5.405 0.000 3.120 5.405 0.000 -2.081 0.000 11.711" Properties=species:S:1:pos:R:3 pbc="T T T"
La 0.000 0.000 0.000
La 3.120 1.803 0.000
La 3.120 -1.803 0.000
Dy 2.080 0.000 5.856
Y 1.040 1.803 3.003
Y -0.004 0.000 8.709
Y 1.040 -1.803 3.003
Y 3.119 1.803 8.708
Y 4.164 0.000 3.002
Y 3.119 -1.803 8.708
Tm 2.080 3.603 5.856
Tm 2.080 -3.603 5.856
```


Number 1: total DFT energy (no corrections) -5.487 eV per atom, formation energy 0.0001 eV per atom. Number 2: total DFT energy (no corrections) -4.847 eV per atom, formation energy 0.0270 eV per atom. Number 3: total DFT energy (no corrections) -4.900 eV per atom, formation energy 0.0283 eV per atom. Number 4: total DFT energy (no corrections) -5.568 eV per atom, formation energy 0.0246 eV per atom.